(1)
The following is a PBE calculation of a relaxed LuScMo2 crystal, from OQMD via LeMat-Bulk.

formation energy: 0.98 eV per formula unit

Unit cell a=6.712 b=6.712 c=6.712 alpha=90.00 beta=90.00 gamma=90.00
Space group F-43m (No. 216)
One atom of each set of equivalent atoms:
Lu (0.000, 0.000, 0.000) [4 per cell]
Sc (0.250, 0.250, 0.750) [4 per cell]
Mo (0.000, 0.000, 0.500) [4 per cell]
Mo (0.250, 0.250, 0.250) [4 per cell]

---

(2)
The following is a PBE calculation of a relaxed Lu2Si4Mo3 crystal, from OQMD via LeMat-Bulk.

DFT total energy: -278.369 eV/cell

Unit cell a=6.676 b=12.827 c=6.899 alpha=90.00 beta=90.00 gamma=90.00
Space group Pnma (No. 62)
One atom of each set of equivalent atoms:
Lu (0.003, 0.093, 0.169) [8 per cell]
Si (0.033, 0.250, 0.869) [4 per cell]
Si (0.161, 0.046, 0.540) [8 per cell]
Si (0.198, 0.750, 0.633) [4 per cell]
Mo (0.166, 0.250, 0.496) [4 per cell]
Mo (0.170, 0.624, 0.334) [8 per cell]

---

(3)
The following is a PBE calculation of a relaxed LuSiMo2 crystal, from OQMD via LeMat-Bulk.

DFT total energy: -127.161 eV/cell

Unit cell a=6.463 b=6.463 c=6.463 alpha=90.00 beta=90.00 gamma=90.00
Space group F-43m (No. 216)
One atom of each set of equivalent atoms:
Lu (0.000, 0.000, 0.000) [4 per cell]
Si (0.250, 0.250, 0.750) [4 per cell]
Mo (0.000, 0.000, 0.500) [4 per cell]
Mo (0.250, 0.250, 0.250) [4 per cell]

---

(4)
The following is a PBE calculation of a relaxed Lu2SiMo crystal, from OQMD via LeMat-Bulk.

DFT total energy: -99.951 eV/cell

Unit cell a=6.752 b=6.752 c=6.752 alpha=90.00 beta=90.00 gamma=90.00
Space group F-43m (No. 216)
One atom of each set of equivalent atoms:
Lu (0.000, 0.000, 0.000) [4 per cell]
Lu (0.250, 0.250, 0.250) [4 per cell]
Si (0.000, 0.000, 0.500) [4 per cell]
Mo (0.250, 0.250, 0.750) [4 per cell]

---

(5)
The following is a PBE calculation of a relaxed SmLuMo crystal, from OQMD via LeMat-Bulk.

formation energy: 3.55 eV per formula unit
ΔE to the lowest computed polymorph: 0.000 eV/atom

Unit cell a=6.919 b=6.919 c=6.919 alpha=90.00 beta=90.00 gamma=90.00
Space group F-43m (No. 216)
One atom of each set of equivalent atoms:
Sm (0.000, 0.000, 0.000) [4 per cell]
Lu (0.250, 0.250, 0.750) [4 per cell]
Mo (0.000, 0.000, 0.500) [4 per cell]

---

(6)
The following is a PBE calculation of a relaxed LuSn2Mo crystal, from OQMD via LeMat-Bulk.

DFT total energy: -88.535 eV/cell

Unit cell a=7.058 b=7.058 c=7.058 alpha=90.00 beta=90.00 gamma=90.00
Space group F-43m (No. 216)
One atom of each set of equivalent atoms:
Lu (0.000, 0.000, 0.000) [4 per cell]
Sn (0.000, 0.000, 0.500) [4 per cell]
Sn (0.250, 0.250, 0.750) [4 per cell]
Mo (0.250, 0.250, 0.250) [4 per cell]

---

(7)
The following is a PBE calculation of a relaxed LuSnMo crystal, from OQMD via LeMat-Bulk.

ΔE to the lowest computed polymorph: 0.000 eV/atom

Unit cell a=6.633 b=6.633 c=6.633 alpha=90.00 beta=90.00 gamma=90.00
Space group F-43m (No. 216)
One atom of each set of equivalent atoms:
Lu (0.000, 0.000, 0.000) [4 per cell]
Sn (0.250, 0.250, 0.250) [4 per cell]
Mo (0.000, 0.000, 0.500) [4 per cell]

---

(8)
The following is a PBE calculation of a relaxed Lu2SnMo crystal, from OQMD via LeMat-Bulk.

DFT total energy: -95.067 eV/cell

Unit cell a=7.035 b=7.035 c=7.035 alpha=90.00 beta=90.00 gamma=90.00
Space group F-43m (No. 216)
One atom of each set of equivalent atoms:
Lu (0.000, 0.000, 0.000) [4 per cell]
Lu (0.250, 0.250, 0.250) [4 per cell]
Sn (0.000, 0.000, 0.500) [4 per cell]
Mo (0.250, 0.250, 0.750) [4 per cell]

---

(9)
The following is a PBE calculation of a relaxed SrLuMo crystal, from OQMD via LeMat-Bulk.

DFT total energy: -47.214 eV/cell

Unit cell a=7.249 b=7.249 c=7.249 alpha=90.00 beta=90.00 gamma=90.00
Space group F-43m (No. 216)
One atom of each set of equivalent atoms:
Sr (0.000, 0.000, 0.000) [4 per cell]
Lu (0.250, 0.250, 0.750) [4 per cell]
Mo (0.250, 0.250, 0.250) [4 per cell]

---

(10)
The following is a PBE calculation of a relaxed LuTcMo crystal, from OQMD via LeMat-Bulk.

formation energy: 1.15 eV per formula unit

Unit cell a=6.259 b=6.259 c=6.259 alpha=90.00 beta=90.00 gamma=90.00
Space group F-43m (No. 216)
One atom of each set of equivalent atoms:
Lu (0.000, 0.000, 0.000) [4 per cell]
Tc (0.250, 0.250, 0.250) [4 per cell]
Mo (0.000, 0.000, 0.500) [4 per cell]

---

(11)
The following is a PBE calculation of a relaxed TmLuMo crystal, from OQMD via LeMat-Bulk.

formation energy: 3.58 eV per formula unit
ΔE to the lowest computed polymorph: 0.000 eV/atom

Unit cell a=6.866 b=6.866 c=6.866 alpha=90.00 beta=90.00 gamma=90.00
Space group F-43m (No. 216)
One atom of each set of equivalent atoms:
Tm (0.000, 0.000, 0.000) [4 per cell]
Lu (0.250, 0.250, 0.750) [4 per cell]
Mo (0.000, 0.000, 0.500) [4 per cell]

---

(12)
The following is a PBE calculation of a relaxed Lu2MoW crystal, from OQMD via LeMat-Bulk.

formation energy: 1.63 eV per formula unit

Unit cell a=6.833 b=6.833 c=6.833 alpha=90.00 beta=90.00 gamma=90.00
Space group F-43m (No. 216)
One atom of each set of equivalent atoms:
Lu (0.000, 0.000, 0.000) [4 per cell]
Lu (0.250, 0.250, 0.250) [4 per cell]
Mo (0.250, 0.250, 0.750) [4 per cell]
W (0.000, 0.000, 0.500) [4 per cell]

---

(13)
The following is a PBE calculation of a relaxed YLu2Mo crystal, from OQMD via LeMat-Bulk.

formation energy: 1.39 eV per formula unit

Unit cell a=7.286 b=7.286 c=7.286 alpha=90.00 beta=90.00 gamma=90.00
Space group F-43m (No. 216)
One atom of each set of equivalent atoms:
Y (0.000, 0.000, 0.000) [4 per cell]
Lu (0.000, 0.000, 0.500) [4 per cell]
Lu (0.250, 0.250, 0.750) [4 per cell]
Mo (0.250, 0.250, 0.250) [4 per cell]

---

(14)
The following is a PBE calculation of a relaxed Lu2ZnMo crystal, from OQMD via LeMat-Bulk.

formation energy: 1.15 eV per formula unit

Unit cell a=6.829 b=6.829 c=6.829 alpha=90.00 beta=90.00 gamma=90.00
Space group F-43m (No. 216)
One atom of each set of equivalent atoms:
Lu (0.000, 0.000, 0.000) [4 per cell]
Lu (0.250, 0.250, 0.250) [4 per cell]
Zn (0.000, 0.000, 0.500) [4 per cell]
Mo (0.250, 0.250, 0.750) [4 per cell]

---

(15)
The following is a PBE calculation of a relaxed LuZnMo crystal, from OQMD via LeMat-Bulk.

formation energy: 3.33 eV per formula unit
ΔE to the lowest computed polymorph: 0.305 eV/atom

Unit cell a=6.550 b=6.550 c=6.550 alpha=90.00 beta=90.00 gamma=90.00
Space group F-43m (No. 216)
One atom of each set of equivalent atoms:
Lu (0.000, 0.000, 0.000) [4 per cell]
Zn (0.250, 0.250, 0.250) [4 per cell]
Mo (0.250, 0.250, 0.750) [4 per cell]

---

(16)
The following is a PBE calculation of a relaxed LuZnMo crystal, from OQMD via LeMat-Bulk.

formation energy: 2.41 eV per formula unit
ΔE to the lowest computed polymorph: 0.000 eV/atom

Unit cell a=6.490 b=6.490 c=6.490 alpha=90.00 beta=90.00 gamma=90.00
Space group F-43m (No. 216)
One atom of each set of equivalent atoms:
Lu (0.000, 0.000, 0.000) [4 per cell]
Zn (0.000, 0.000, 0.500) [4 per cell]
Mo (0.250, 0.250, 0.250) [4 per cell]

---

(17)
The following is a PBE calculation of a relaxed LuZnMo2 crystal, from OQMD via LeMat-Bulk.

formation energy: 0.53 eV per formula unit

Unit cell a=6.529 b=6.529 c=6.529 alpha=90.00 beta=90.00 gamma=90.00
Space group F-43m (No. 216)
One atom of each set of equivalent atoms:
Lu (0.000, 0.000, 0.000) [4 per cell]
Zn (0.250, 0.250, 0.750) [4 per cell]
Mo (0.000, 0.000, 0.500) [4 per cell]
Mo (0.250, 0.250, 0.250) [4 per cell]

---

(18)
The following is a PBE calculation of a relaxed LuN crystal, from OQMD via LeMat-Bulk.

DFT total energy: -64.199 eV/cell

Unit cell a=5.107 b=5.107 c=5.107 alpha=90.00 beta=90.00 gamma=90.00
Space group F-43m (No. 216)
One atom of each set of equivalent atoms:
Lu (0.000, 0.000, 0.000) [4 per cell]
N (0.250, 0.250, 0.750) [4 per cell]

---

(19)
The following is a PBE calculation of a relaxed LuN crystal, from OQMD via LeMat-Bulk.

DFT total energy: -60.629 eV/cell

Unit cell a=6.166 b=3.411 c=5.941 alpha=90.00 beta=90.00 gamma=90.00
Space group Pmma (No. 51)
One atom of each set of equivalent atoms:
Lu (0.000, 0.000, 0.000) [2 per cell]
Lu (0.250, 0.500, 0.496) [2 per cell]
N (0.250, 0.000, 0.706) [2 per cell]
N (0.250, 0.500, 0.131) [2 per cell]

---

(20)
The following is a PBE calculation of a relaxed LuN crystal, from OQMD via LeMat-Bulk.

DFT total energy: -14.152 eV/cell

Unit cell a=2.902 b=2.902 c=2.902 alpha=90.00 beta=90.00 gamma=90.00
Space group Pm-3m (No. 221)
One atom of each set of equivalent atoms:
Lu (0.000, 0.000, 0.000) [1 per cell]
N (0.500, 0.500, 0.500) [1 per cell]

---

(21)
The following is a PBE calculation of a relaxed Lu2Nb4Ni3N3 crystal, from OQMD via LeMat-Bulk.

DFT total energy: -401.000 eV/cell

Unit cell a=9.382 b=5.421 c=13.599 alpha=90.00 beta=103.37 gamma=90.00
Space group C2/c (No. 15)
One atom of each set of equivalent atoms:
Lu (0.040, 0.082, 0.378) [8 per cell]
Nb (0.112, 0.413, 0.587) [8 per cell]
Nb (0.223, 0.417, 0.913) [8 per cell]
Ni (0.000, 0.423, 0.750) [4 per cell]
Ni (0.245, 0.159, 0.751) [8 per cell]
N (0.080, 0.239, 0.000) [8 per cell]
N (0.250, 0.250, 0.500) [4 per cell]

---

(22)
The following is a PBE calculation of a relaxed Lu4Nb2Ni3N3 crystal, from OQMD via LeMat-Bulk.

DFT total energy: -355.982 eV/cell

Unit cell a=10.120 b=5.494 c=13.625 alpha=90.00 beta=104.36 gamma=90.00
Space group C2/c (No. 15)
One atom of each set of equivalent atoms:
Lu (0.121, 0.075, 0.106) [8 per cell]
Lu (0.217, 0.082, 0.393) [8 per cell]
Nb (0.056, 0.424, 0.917) [8 per cell]
Ni (0.000, 0.141, 0.250) [4 per cell]
Ni (0.125, 0.469, 0.750) [8 per cell]
N (0.083, 0.249, 0.500) [8 per cell]
N (0.250, 0.250, 0.000) [4 per cell]

---

(23)
The following is a PBE calculation of a relaxed LuNbN2O crystal, from OQMD via LeMat-Bulk.

DFT total energy: -180.256 eV/cell

Unit cell a=5.532 b=5.569 c=9.679 alpha=90.20 beta=106.56 gamma=119.28
Space group P1 (No. 1)
One atom of each set of equivalent atoms:
Lu (0.000, 0.000, 0.000) [1 per cell]
Lu (0.001, 0.495, 0.515) [1 per cell]
Lu (0.573, 0.749, 0.255) [1 per cell]
Lu (0.580, 0.262, 0.764) [1 per cell]
Nb (0.274, 0.129, 0.374) [1 per cell]
Nb (0.280, 0.624, 0.892) [1 per cell]
Nb (0.756, 0.356, 0.130) [1 per cell]
Nb (0.768, 0.847, 0.620) [1 per cell]
N (0.417, 0.508, 0.510) [1 per cell]
N (0.422, 0.009, 0.011) [1 per cell]
N (0.633, 0.364, 0.303) [1 per cell]
N (0.635, 0.620, 0.041) [1 per cell]
N (0.969, 0.902, 0.473) [1 per cell]
N (0.976, 0.665, 0.730) [1 per cell]
N (0.982, 0.145, 0.219) [1 per cell]
N (0.991, 0.407, 0.980) [1 per cell]
O (0.195, 0.286, 0.755) [1 per cell]
O (0.201, 0.763, 0.275) [1 per cell]
O (0.629, 0.133, 0.560) [1 per cell]
O (0.632, 0.894, 0.797) [1 per cell]

---

no.,calculated volume (A^3/atom)
1,18.899
2,16.412
3,16.871
4,19.240
5,27.601
6,21.972
7,24.317
8,21.762
9,31.748
10,20.435
11,26.972
12,19.940
13,24.171
14,19.901
15,23.421
16,22.777
17,17.391
18,16.650
19,15.620
20,12.221
21,14.018
22,15.288
23,12.283